Entry from the Alexandria database: crystalline Bi3SbPd3 at its relaxed geometry (PBE).

Calculated values
- Crystal system: monoclinic
- ΔE_f (raw): -0.224 eV per atom
- VASP energy: -65.83 eV per cell
- Volume: 172.8 Å³/f.u.
- ΔE to the lowest computed polymorph: 0.07 eV/f.u.

Unit cell a=7.384 b=7.384 c=7.006 alpha=94.80 beta=94.80 gamma=113.74
Atoms (fractional coordinates):
Bi (0.693, 0.693, 0.441)
Bi (0.213, 0.787, 0.500)
Bi (0.787, 0.213, 0.500)
Bi (0.284, 0.716, 0.000)
Bi (0.716, 0.284, 0.000)
Bi (0.307, 0.307, 0.559)
Sb (0.770, 0.770, 0.979)
Sb (0.230, 0.230, 0.021)
Pd (0.005, 0.005, 0.295)
Pd (0.913, 0.583, 0.740)
Pd (0.583, 0.913, 0.740)
Pd (0.087, 0.417, 0.260)
Pd (0.417, 0.087, 0.260)
Pd (0.995, 0.995, 0.705)

Entry from the Alexandria database: crystalline NdGd3Ni at its relaxed geometry (PBE).

Calculated values
- Crystal system: cubic
- VASP energy: -53.05 eV per cell
- Volume: 156.3 Å³/f.u.
- E_form: -0.26 eV/f.u.

Unit cell a=5.387 b=5.387 c=5.387 alpha=90.00 beta=90.00 gamma=90.00
Atoms (fractional coordinates):
Ni (0.000, 0.000, 0.000)
Gd (0.000, 0.500, 0.000)
Gd (0.000, 0.000, 0.500)
Gd (0.500, 0.000, 0.000)
Nd (0.500, 0.500, 0.500)

Entry from the Alexandria database: crystalline Hg4Cl at its relaxed geometry (PBE).

Calculated values
- Crystal system: cubic
- ΔE_f (raw): -0.116 eV per atom
- VASP energy: -14.54 eV per cell
- Volume: 146.0 Å³/f.u.
- ΔE to the lowest computed polymorph: 0.00 eV/f.u.

Unit cell a=9.120 b=9.120 c=9.120 alpha=109.47 beta=109.47 gamma=109.47
Atoms (fractional coordinates):
Cl (0.428, 0.428, 0.428)
Cl (0.572, 0.000, 0.000)
Cl (0.000, 0.572, 0.000)
Cl (0.000, 0.000, 0.572)
Hg (0.730, 0.730, 0.730)
Hg (0.270, 0.000, 0.000)
Hg (0.000, 0.270, 0.000)
Hg (0.000, 0.000, 0.270)
Hg (0.665, 0.665, 0.000)
Hg (0.335, 0.335, 0.000)
Hg (0.665, 0.000, 0.665)
Hg (0.335, 0.000, 0.335)
Hg (0.000, 0.665, 0.665)
Hg (0.000, 0.335, 0.335)
Hg (0.250, 0.750, 0.500)
Hg (0.750, 0.250, 0.500)
Hg (0.750, 0.500, 0.250)
Hg (0.250, 0.500, 0.750)
Hg (0.500, 0.250, 0.750)
Hg (0.500, 0.750, 0.250)